# PBE with a Hubbard U CaMg14MnO16, relaxed
data_CaMg14MnO16
_cell_length_a 8.626
_cell_length_b 8.626
_cell_length_c 4.337
_cell_angle_alpha 90.00
_cell_angle_beta 90.00
_cell_angle_gamma 90.00
_symmetry_space_group_name_H-M 'P 1'
_symmetry_Int_Tables_number 1
loop_
_symmetry_equiv_pos_as_xyz
'x,y,z'
loop_
_atom_site_label
_atom_site_fract_x
_atom_site_fract_y
_atom_site_fract_z
O1 0.500 0.500 0.500
O2 0.500 0.245 0.000
Mg1 0.744 0.000 0.500
O3 0.755 0.500 0.000
O4 0.500 0.000 0.500
Mg2 0.000 0.256 0.500
O5 0.000 0.000 0.500
Mg3 0.500 0.000 0.000
Ca1 0.000 0.000 0.000
O6 0.000 0.500 0.500
O7 0.750 0.250 0.500
O8 0.750 0.750 0.500
Mg4 0.000 0.744 0.500
Mg5 0.252 0.252 0.000
Mn1 0.500 0.500 0.000
Mg6 0.748 0.252 0.000
O9 0.250 0.750 0.500
Mg7 0.500 0.751 0.500
O10 0.737 0.000 0.000
O11 0.263 0.000 0.000
O12 0.500 0.755 0.000
Mg8 0.256 0.000 0.500
O13 0.245 0.500 0.000
Mg9 0.252 0.748 0.000
Mg10 0.500 0.249 0.500
Mg11 0.748 0.748 0.000
O14 0.000 0.263 0.000
O15 0.000 0.737 0.000
Mg12 0.751 0.500 0.500
O16 0.250 0.250 0.500
Mg13 0.249 0.500 0.500
Mg14 0.000 0.500 0.000
# Total magnetic moment (μB/atom): 0.1562
# Excess energy over the best structure of this formula in the dataset (eV per atom): 0.000
# Symmetry: P4/mmm